Entry 1:
Here is a relaxed Pr2Ga2Pd3 crystal from Alexandria. Energies are from GGA-PBE.

The structure in extended XYZ format:
```
14
Lattice="-1.195 -2.965 2.722 6.154 -3.638 -1.261 4.947 6.342 5.841" Properties=species:S:1:pos:R:3 pbc="T T T"
Pd 0.308 -1.045 2.235
Pd 9.597 0.784 5.068
Pd 3.323 0.270 4.992
Pd 6.581 -0.532 2.311
Pd 7.192 2.205 5.560
Pd 2.712 -2.467 1.743
Ga 6.868 -3.040 2.943
Ga 3.036 2.778 4.359
Ga 5.394 1.384 3.876
Ga 4.511 -1.646 3.427
Pr 2.864 0.572 1.881
Pr 7.040 -0.834 5.422
Pr 4.772 1.889 7.391
Pr 5.133 -2.150 -0.088
```

Summary:
energy of formation from the pure elements	-788.4	meV per atom
total energy	-5.244	eV/atom
M_tot	0.0	μB/f.u.



Entry 2:
Here is a relaxed Dy2HoMg9 crystal from Alexandria. Energies are from GGA-PBE.

The structure in extended XYZ format:
```
12
Lattice="-4.693 1.883 3.287 -4.087 -3.972 1.973 2.228 -1.979 9.848" Properties=species:S:1:pos:R:3 pbc="T T T"
Dy -6.573 -2.638 8.728
Dy 0.020 -1.430 6.381
Mg -3.277 -2.034 7.554
Mg -3.068 -1.363 4.658
Mg -5.143 -3.379 5.660
Mg -1.410 -0.689 9.448
Mg -1.103 -3.661 8.781
Mg -3.485 -2.705 10.450
Mg -5.842 -1.396 3.526
Mg -5.450 -0.407 6.327
Mg -0.711 -2.673 11.582
Ho 0.000 0.000 0.000
```

Summary:
energy of formation from the pure elements	-23.5	meV per atom
total energy	-2.368	eV/atom
M_tot	0.0	μB/f.u.



Entry 3:
Here is a relaxed Sr9Cd3N2 crystal from Alexandria. Energies are from GGA-PBE.

The structure in extended XYZ format:
```
28
Lattice="-4.039 -6.103 -2.231 6.741 1.532 -3.278 8.820 -10.649 13.162" Properties=species:S:1:pos:R:3 pbc="T T T"
Sr 9.689 -10.236 10.457
Sr 8.110 -10.170 7.103
Sr 1.474 -9.147 2.999
Sr 3.393 -6.246 4.059
Sr 0.311 -5.754 2.058
Sr 12.893 -9.508 8.899
Sr 10.973 -12.408 7.839
Sr 1.554 -7.857 -0.476
Sr 1.833 -4.984 -2.804
Sr 3.412 -5.049 0.550
Sr 9.968 -7.363 8.129
Sr 4.678 -8.419 1.441
Sr 10.048 -6.073 4.654
Sr -1.371 -5.712 -1.246
Sr 6.844 -6.801 6.212
Sr 8.128 -8.973 3.594
Sr 11.211 -9.466 5.595
Sr 0.549 -2.812 -0.186
Cd 7.671 -13.358 9.533
Cd 2.205 -2.662 3.290
Cd 4.667 -9.731 5.050
Cd 3.851 -1.862 -1.880
Cd 6.855 -5.489 2.603
Cd 6.615 -7.987 9.871
N 8.971 -8.045 5.762
N 10.554 -9.955 8.123
N 0.968 -5.265 -0.470
N 2.550 -7.175 1.891
```

Summary:
uncorrected formation energy	-0.3709	eV/atom
total energy	-2.837	eV/atom
M_tot	0.6	μB/f.u.



Entry 4:
Here is a relaxed Ce2DyLu crystal from Alexandria. Energies are from GGA-PBE.

The structure in extended XYZ format:
```
4
Lattice="-4.364 -3.444 -0.615 -1.512 -3.375 4.196 -4.745 0.970 2.798" Properties=species:S:1:pos:R:3 pbc="T T T"
Lu 0.000 0.000 0.000
Ce -7.966 -4.387 4.784
Ce -2.655 -1.462 1.595
Dy -5.311 -2.924 3.189
```

Summary:
energy of formation from the pure elements	207.8	meV per atom
total energy	-5.040	eV/atom
M_tot	1.6	μB/f.u.



Entry 5:
Here is a relaxed Te2MoOsW crystal from Alexandria. Energies are from GGA-PBE.

The structure in extended XYZ format:
```
5
Lattice="5.074 0.000 0.000 0.000 4.707 0.000 0.000 0.000 5.074" Properties=species:S:1:pos:R:3 pbc="T T T"
Os 0.000 0.000 0.000
W 2.537 2.353 2.537
Te 0.000 0.000 2.537
Te 2.537 0.000 0.000
Mo 0.000 2.353 0.000
```

Summary:
uncorrected formation energy	2.0018	eV/atom
total energy	-6.258	eV/atom
M_tot	1.2	μB/f.u.



Entry 6:
Here is a relaxed B5C7 crystal from Alexandria. Energies are from GGA-PBE.

The structure in extended XYZ format:
```
12
Lattice="2.622 0.000 0.000 -1.311 2.271 0.000 0.000 0.000 14.405" Properties=species:S:1:pos:R:3 pbc="T T T"
B 1.311 0.757 11.706
B 0.000 0.000 7.423
B 0.000 0.000 12.716
B 1.311 0.757 5.597
B 1.311 0.757 2.276
C 0.000 1.514 9.587
C 0.000 1.514 2.051
C 0.000 0.000 14.299
C 0.000 1.514 8.085
C 0.000 1.514 0.409
C 0.000 0.000 5.747
C 1.311 0.757 10.134
```

Summary:
energy of formation from the pure elements	321.3	meV per atom
total energy	-7.842	eV/atom
M_tot	0.0	μB/f.u.



Entry 7:
Here is a relaxed CdPbN2O crystal from Alexandria. Energies are from GGA-PBE.

The structure in extended XYZ format:
```
5
Lattice="-3.604 -1.503 -2.173 2.086 -3.874 -0.781 -1.558 -1.580 3.678" Properties=species:S:1:pos:R:3 pbc="T T T"
N -1.802 -0.751 -1.086
N 1.043 -1.937 -0.390
O -0.779 -0.790 1.839
Cd -1.538 -3.479 0.362
Pb 0.000 0.000 0.000
```

Summary:
uncorrected formation energy	1.2798	eV/atom
total energy	-3.967	eV/atom
M_tot	2.2	μB/f.u.



Entry 8:
Here is a relaxed KEuPSe4 crystal from Alexandria. Energies are from GGA-PBE.

The structure in extended XYZ format:
```
14
Lattice="6.989 0.000 0.000 0.000 6.938 0.005 0.000 2.710 8.840" Properties=species:S:1:pos:R:3 pbc="T T T"
Se 3.471 5.436 6.464
Se 3.518 4.212 2.380
Se 5.242 8.536 7.411
Se 1.747 1.112 1.434
Se 1.747 2.343 4.926
Se 6.965 4.212 2.380
Se 0.024 5.436 6.464
Se 5.242 7.305 3.919
K 1.747 7.768 8.293
K 5.242 1.880 0.552
P 1.747 2.894 2.763
P 5.242 6.754 6.082
Eu 5.242 3.346 4.854
Eu 1.747 6.302 3.990
```

Summary:
uncorrected formation energy	-0.9805	eV/atom
total energy	-5.369	eV/atom
M_tot	7.0	μB/f.u.



Entry 9:
Here is a relaxed KLiHgI4 crystal from Alexandria. Energies are from GGA-PBE.

The structure in extended XYZ format:
```
14
Lattice="-4.806 4.955 1.916 -2.316 0.993 -8.375 -5.364 -8.157 0.516" Properties=species:S:1:pos:R:3 pbc="T T T"
Li -6.734 1.677 -4.789
Li -5.752 -3.886 -1.154
I -8.426 -4.250 -0.458
I -7.211 -1.055 -4.982
I -4.059 2.041 -5.486
I -5.356 -5.212 -3.635
I -4.233 -5.694 0.426
I -8.253 3.485 -6.370
I -5.275 -1.154 -0.962
I -7.130 3.003 -2.308
Hg -7.948 -1.315 -0.242
Hg -4.538 -0.894 -5.701
K -10.768 -2.842 -4.210
K -1.718 0.633 -1.733
```

Summary:
uncorrected formation energy	-0.8648	eV/atom
total energy	-2.224	eV/atom
M_tot	0.0	μB/f.u.



Entry 10:
Here is a relaxed La3CeEr2Te6 crystal from Alexandria. Energies are from GGA-PBE.

The structure in extended XYZ format:
```
12
Lattice="-2.105 7.198 1.894 -5.179 -4.906 -2.990 0.703 -3.066 7.155" Properties=species:S:1:pos:R:3 pbc="T T T"
Te -5.184 0.975 0.847
Te -2.181 -2.222 0.582
Te -1.397 -1.749 5.212
Te -1.129 1.919 2.253
Te -4.401 1.448 5.477
Te -5.452 -2.692 3.806
Er -4.158 -0.885 -1.368
Er -3.126 3.177 0.271
La -4.330 -4.481 1.377
La -3.291 -0.387 3.029
La -2.251 3.708 4.682
Ce 0.000 0.000 0.000
```

Summary:
uncorrected formation energy	-1.4337	eV/atom
total energy	-5.491	eV/atom
M_tot	1.2	μB/f.u.



Entry 11:
Here is a relaxed CrBr crystal from Alexandria. Energies are from GGA-PBE.

The structure in extended XYZ format:
```
16
Lattice="10.704 0.000 0.000 0.000 10.704 0.000 0.000 0.000 3.209" Properties=species:S:1:pos:R:3 pbc="T T T"
Br 10.629 8.148 1.604
Br 0.075 2.556 1.604
Br 5.277 2.796 0.000
Br 8.148 0.075 1.604
Br 2.796 5.426 0.000
Br 7.907 5.277 0.000
Br 2.556 10.629 1.604
Br 5.426 7.907 0.000
Cr 3.089 8.624 0.000
Cr 2.080 3.089 0.000
Cr 7.431 8.441 1.604
Cr 7.615 2.080 0.000
Cr 2.263 7.431 1.604
Cr 3.272 2.263 1.604
Cr 8.441 3.272 1.604
Cr 8.624 7.615 0.000
```

Summary:
uncorrected formation energy	0.2438	eV/atom
total energy	-5.404	eV/atom
M_tot	0.0	μB/f.u.



Entry 12:
Here is a relaxed Ti6AgC crystal from Alexandria. Energies are from GGA-PBE.

The structure in extended XYZ format:
```
8
Lattice="-1.768 4.753 0.844 -2.325 -0.700 4.534 4.093 0.005 3.114" Properties=species:S:1:pos:R:3 pbc="T T T"
Ti 2.237 0.124 4.024
Ti 0.825 1.026 1.599
Ti 1.380 1.090 6.672
Ti -2.236 3.934 4.468
Ti -0.824 3.032 6.893
Ti -1.379 2.968 1.820
C 0.000 0.000 0.000
Ag 0.001 2.029 4.246
```

Summary:
energy of formation from the pure elements	-143.3	meV per atom
total energy	-7.574	eV/atom
M_tot	0.0	μB/f.u.



Entry 13:
Here is a relaxed Ba2CaCr crystal from Alexandria. Energies are from GGA-PBE.

The structure in extended XYZ format:
```
4
Lattice="-11.533 -3.334 -0.907 -9.655 -6.576 -2.911 -9.982 -6.600 1.325" Properties=species:S:1:pos:R:3 pbc="T T T"
Ba -0.490 -0.260 -0.039
Ba -15.095 -7.995 -1.207
Ca -7.792 -4.127 -0.623
Cr -23.377 -12.382 -1.870
```

Summary:
energy of formation from the pure elements	556.0	meV per atom
total energy	-3.312	eV/atom
M_tot	4.1	μB/f.u.



Entry 14:
Here is a relaxed RbTl11 crystal from Alexandria. Energies are from GGA-PBE.

The structure in extended XYZ format:
```
12
Lattice="3.481 0.000 0.000 0.000 9.824 -5.672 0.000 0.000 11.344" Properties=species:S:1:pos:R:3 pbc="T T T"
Tl 0.000 4.912 2.836
Tl 1.740 8.063 2.622
Tl 1.740 3.522 0.000
Tl 1.740 1.761 8.293
Tl 0.000 4.912 -2.836
Tl 1.740 1.761 3.050
Tl 1.740 8.063 -2.622
Tl 0.000 3.275 5.672
Tl 1.740 6.302 5.672
Tl 0.000 0.000 5.672
Tl 0.000 6.549 0.000
Rb 0.000 0.000 0.000
```

Summary:
energy of formation from the pure elements	-5.3	meV per atom
total energy	-2.255	eV/atom
M_tot	0.0	μB/f.u.



Entry 15:
Here is a relaxed Y2TlP crystal from Alexandria. Energies are from GGA-PBE.

The structure in extended XYZ format:
```
4
Lattice="-2.053 2.922 4.288 2.053 -2.922 4.288 2.053 2.922 -4.288" Properties=species:S:1:pos:R:3 pbc="T T T"
P 2.053 0.000 0.000
Y 0.000 0.000 6.703
Y 0.000 0.000 1.874
Tl 0.000 2.922 0.000
```

Summary:
energy of formation from the pure elements	-627.3	meV per atom
total energy	-5.803	eV/atom
M_tot	0.0	μB/f.u.



Entry 16:
Here is a relaxed Li2O2F crystal from Alexandria. Energies are from GGA-PBE.

The structure in extended XYZ format:
```
5
Lattice="2.758 0.000 0.000 0.000 2.758 0.000 1.379 1.379 5.586" Properties=species:S:1:pos:R:3 pbc="T T T"
Li 2.758 2.758 4.366
Li 1.379 1.379 1.220
O 1.379 2.758 2.793
O 2.758 1.379 2.793
F 0.000 0.000 0.000
```

Summary:
uncorrected formation energy	-1.2535	eV/atom
total energy	-4.377	eV/atom
M_tot	0.0	μB/f.u.